(1)
4
Lattice="1.585 0.915 10.624 -1.585 0.915 10.624 0.000 -1.830 10.624" Properties=species:S:1:pos:R:3 comment="Tb2NbCu PBE optimized geometry" m_tot_mub_per_fu=0.9 volume_a3_per_atom=23.11 formation_enthalpy_0k_ev_per_atom=0.561 total_energy_ev_per_atom=-5.296 pbc="T T T"
Tb 0.000 0.000 2.989
Tb 0.000 0.000 28.884
Nb 0.000 0.000 0.000
Cu 0.000 0.000 15.936

=====

(2)
5
Lattice="4.709 0.000 0.000 0.000 4.709 0.000 0.000 0.000 4.709" Properties=species:S:1:pos:R:3 comment="NbCuTc3 PBE optimized geometry" de_polymorph_mev_per_atom=519 m_tot_mub_per_fu=2.9 volume_a3_per_atom=20.88 formation_enthalpy_0k_ev_per_atom=1.942 total_energy_ev_per_atom=-7.111 pbc="T T T"
Nb 0.000 0.000 0.000
Cu 2.354 2.354 2.354
Tc 0.000 0.000 2.354
Tc 0.000 2.354 0.000
Tc 2.354 0.000 0.000

=====

(3)
5
Lattice="-1.656 1.656 6.924 1.656 -1.656 6.924 1.656 1.656 -6.924" Properties=species:S:1:pos:R:3 comment="NbCu2Tc2 PBE optimized geometry" de_polymorph_mev_per_atom=111 m_tot_mub_per_fu=0.0 volume_a3_per_atom=15.20 formation_enthalpy_0k_ev_per_atom=0.400 total_energy_ev_per_atom=-7.399 pbc="T T T"
Nb 0.000 0.000 0.000
Cu 1.656 0.000 3.462
Cu 0.000 1.656 3.462
Tc 0.000 0.000 5.526
Tc 0.000 0.000 8.323

=====

(4)
4
Lattice="3.892 0.000 0.000 0.000 3.892 0.000 0.000 0.000 3.902" Properties=species:S:1:pos:R:3 comment="NbCuTc2 PBE optimized geometry" de_polymorph_mev_per_atom=0 m_tot_mub_per_fu=0.0 volume_a3_per_atom=14.77 formation_enthalpy_0k_ev_per_atom=0.017 total_energy_ev_per_atom=-8.707 pbc="T T T"
Nb 0.000 0.000 0.000
Cu 1.946 1.946 0.000
Tc 0.000 1.946 1.951
Tc 1.946 0.000 1.951

=====

(5)
10
Lattice="6.616 0.000 0.000 0.000 6.616 0.000 0.000 0.000 3.287" Properties=species:S:1:pos:R:3 comment="NbCu2Tc2 PBE optimized geometry" de_polymorph_mev_per_atom=0 m_tot_mub_per_fu=0.0 volume_a3_per_atom=14.39 formation_enthalpy_0k_ev_per_atom=0.289 total_energy_ev_per_atom=-7.510 pbc="T T T"
Nb 0.000 0.000 0.000
Nb 3.308 3.308 0.000
Cu 0.823 2.485 0.000
Cu 2.485 5.793 0.000
Cu 4.131 0.823 0.000
Cu 5.793 4.131 0.000
Tc 1.152 4.460 1.644
Tc 2.156 1.152 1.644
Tc 4.460 5.464 1.644
Tc 5.464 2.156 1.644

=====

(6)
5
Lattice="-1.795 1.795 5.830 1.795 -1.795 5.830 1.795 1.795 -5.830" Properties=species:S:1:pos:R:3 comment="NbCu2Tc2 PBE optimized geometry" de_polymorph_mev_per_atom=62 m_tot_mub_per_fu=0.0 volume_a3_per_atom=15.02 formation_enthalpy_0k_ev_per_atom=0.351 total_energy_ev_per_atom=-7.448 pbc="T T T"
Nb 0.000 0.000 0.000
Cu 0.000 0.000 4.712
Cu 0.000 0.000 6.947
Tc 1.795 0.000 2.915
Tc 0.000 1.795 2.915

=====

(7)
5
Lattice="4.490 0.000 0.000 0.000 4.490 0.000 0.000 0.000 4.490" Properties=species:S:1:pos:R:3 comment="NbCu3Tc PBE optimized geometry" de_polymorph_mev_per_atom=0 m_tot_mub_per_fu=0.0 volume_a3_per_atom=18.10 formation_enthalpy_0k_ev_per_atom=1.488 total_energy_ev_per_atom=-5.057 pbc="T T T"
Nb 0.000 0.000 0.000
Cu 0.000 2.245 2.245
Cu 2.245 0.000 2.245
Cu 2.245 2.245 0.000
Tc 2.245 2.245 2.245

=====

(8)
8
Lattice="-1.802 1.802 9.564 1.802 -1.802 9.564 1.802 1.802 -9.564" Properties=species:S:1:pos:R:3 comment="NbCu2Tc PBE optimized geometry" de_polymorph_mev_per_atom=189 m_tot_mub_per_fu=0.0 volume_a3_per_atom=15.54 formation_enthalpy_0k_ev_per_atom=0.468 total_energy_ev_per_atom=-6.689 pbc="T T T"
Nb 0.000 0.000 0.000
Nb 0.000 1.802 4.782
Cu 0.901 -0.855 7.173
Cu 0.948 0.901 2.391
Cu 0.901 2.657 -2.391
Cu 0.855 0.901 11.955
Tc 1.802 0.000 4.782
Tc 0.000 0.000 9.564